Computed, not measured: a geometry-optimized RbSmMnF6 structure at the GGA+U level of DFT.

The total energy is -6.02 eV/atom.

abc: 6.0266 6.0266 11.5662
angles: 90.00 90.00 120.00
Last column: nearest neighbours and their distance in Å.
Sites, in units of the cell vectors:
Rb 0.0000 0.0000 0.0000  6 F 2.88
Rb 0.0000 0.0000 0.5000  6 F 2.88
Sm 0.6667 0.3333 0.2500  6 F 2.26
Sm 0.3333 0.6667 0.7500  6 F 2.26
Mn 0.3333 0.6667 0.2500  6 F 2.16
Mn 0.6667 0.3333 0.7500  6 F 2.16
F 0.6121 0.6246 0.1493  1 Mn 2.16, 1 Sm 2.26
F 0.0125 0.3879 0.1493  1 Mn 2.16, 1 Sm 2.26
F 0.3879 0.0125 0.6493  1 Mn 2.16, 1 Sm 2.26
F 0.9875 0.6121 0.8507  1 Mn 2.16, 1 Sm 2.26
F 0.3754 0.3879 0.3507  1 Mn 2.16, 1 Sm 2.26
F 0.0125 0.6246 0.3507  1 Mn 2.16, 1 Sm 2.26
F 0.6246 0.0125 0.8507  1 Mn 2.16, 1 Sm 2.26
F 0.6121 0.9875 0.3507  1 Mn 2.16, 1 Sm 2.26
F 0.9875 0.3754 0.6493  1 Mn 2.16, 1 Sm 2.26
F 0.3754 0.9875 0.1493  1 Mn 2.16, 1 Sm 2.26
F 0.6246 0.6121 0.6493  1 Mn 2.16, 1 Sm 2.26
F 0.3879 0.3754 0.8507  1 Mn 2.16, 1 Sm 2.26